[1]
First-principles (PBE) data for a relaxed structure of Li5NdTl6, as listed in the Alexandria database.

D(E_F) (states/eV/atom): 0.334
Symmetry: Cmmm
V (Å³/cell): 275.2
DFT total energy (eV for the cell shown): -31.53
ΔE_f (eV/atom): -0.2493

Lattice parameters (Å, degrees): 4.932 7.866 7.470 90.00 90.00 71.73
Element x y z (fractional)
Tl 0.827 0.346 0.262
Tl 0.827 0.346 0.738
Tl 0.500 0.000 0.719
Tl 0.500 0.000 0.281
Tl 0.173 0.654 0.262
Tl 0.173 0.654 0.738
Nd 0.000 0.000 0.000
Li 0.670 0.660 0.500
Li 0.327 0.346 0.000
Li 0.000 0.000 0.500
Li 0.673 0.654 0.000
Li 0.330 0.340 0.500

***

[2]
First-principles (PBE) data for a relaxed structure of ErScFe, as listed in the Alexandria database.

D(E_F) (states/eV/atom): 0.542
Symmetry: I4mm
V (Å³/cell): 62.3
DFT total energy (eV for the cell shown): -19.49
ΔE_f (eV/atom): -0.0434

Lattice parameters (Å, degrees): 3.209 3.209 6.459 104.38 104.38 90.00
Element x y z (fractional)
Sc 0.291 0.291 0.582
Fe 0.673 0.673 0.346
Er 0.036 0.036 0.071

***

[3]
First-principles (PBE) data for a relaxed structure of LaSc5Tl6, as listed in the Alexandria database.

D(E_F) (states/eV/atom): 0.884
Symmetry: Immm
V (Å³/cell): 298.0
DFT total energy (eV for the cell shown): -53.93
ΔE_f (eV/atom): -0.2626

Lattice parameters (Å, degrees): 5.220 7.291 9.022 113.83 106.82 90.00
Element x y z (fractional)
Sc 0.340 0.840 0.679
Sc 0.668 0.668 0.336
Sc 0.000 0.500 0.000
Sc 0.332 0.332 0.664
Sc 0.660 0.160 0.321
Tl 0.174 0.434 0.348
Tl 0.174 0.913 0.348
Tl 0.500 0.272 0.000
Tl 0.500 0.728 0.000
Tl 0.826 0.087 0.652
Tl 0.826 0.566 0.652
La 0.000 0.000 0.000

***

[4]
First-principles (PBE) data for a relaxed structure of TlCdOs2, as listed in the Alexandria database.

D(E_F) (states/eV/atom): 1.459
Symmetry: I4/mmm
V (Å³/cell): 70.9
DFT total energy (eV for the cell shown): -21.32
ΔE_f (eV/atom): 1.1062

Lattice parameters (Å, degrees): 5.143 5.143 5.143 133.23 133.23 68.30
Site moments in Bohr magnetons follow the coordinates.
Element x y z (fractional)
Tl 0.250 0.750 0.500  -0.01
Os 0.000 0.000 0.000  0.69
Os 0.500 0.500 0.000  0.69
Cd 0.750 0.250 0.500  0.00